Record 1
Compound: Sr2SbP2
Source: the Alexandria database
Functional: PBE-GGA
Structure: relaxed

Lattice parameters (Å, degrees): 8.6290 8.6290 3.6509 90.00 90.00 90.00
Sites, in units of the cell vectors:
Sr 0.1366 0.3634 0.0000
Sr 0.3634 0.8634 0.0000
Sr 0.6366 0.1366 0.0000
Sr 0.8634 0.6366 0.0000
Sb 0.0000 0.0000 0.0000
Sb 0.5000 0.5000 0.0000
P 0.1704 0.6704 0.5000
P 0.3296 0.1704 0.5000
P 0.6704 0.8296 0.5000
P 0.8296 0.3296 0.5000

Results
Space-group type: P4/mbm (127)
Formation energy (no corrections) (meV per atom): -284.3
Offset from the most stable computed form (eV per atom): 0.441
D(E_F) (states/eV per cell): 8.9


Record 2
Compound: Na4Ac3YTe8
Source: the Alexandria database
Functional: PBE-GGA
Structure: relaxed

Lattice parameters (Å, degrees): 9.3086 9.3086 9.3086 60.61 60.61 60.61
Sites, in units of the cell vectors:
Na 0.0000 0.0000 0.0000
Na 0.0000 0.5000 0.5000
Na 0.5000 0.0000 0.5000
Na 0.5000 0.5000 0.0000
Ac 0.0000 0.0000 0.5000
Ac 0.0000 0.5000 0.0000
Ac 0.5000 0.0000 0.0000
Y 0.5000 0.5000 0.5000
Te 0.2507 0.2507 0.2507
Te 0.2610 0.2610 0.7364
Te 0.2610 0.7364 0.2610
Te 0.2636 0.7390 0.7390
Te 0.7364 0.2610 0.2610
Te 0.7390 0.2636 0.7390
Te 0.7390 0.7390 0.2636
Te 0.7493 0.7493 0.7493

Results
Space-group type: R-3m (166)
Formation energy (no corrections) (meV per atom): -1368.4
D(E_F) (states/eV per cell): 0.0


Record 3
Compound: LaAlAs2
Source: the Alexandria database
Functional: PBE-GGA
Structure: relaxed

Lattice parameters (Å, degrees): 4.0648 4.9313 4.9332 90.00 90.22 90.00
Sites, in units of the cell vectors:
La 0.0000 0.0000 0.0000
Al 0.6288 0.5000 0.4784
As 0.4983 0.5000 0.9797
As 0.4998 0.0000 0.5021

Results
Space-group type: Pm (6)
Calculated formation energy (meV per atom): -679.7
D(E_F) (states/eV per cell): 2.1


Record 4
Compound: YTlRe2O8
Source: the Alexandria database
Functional: PBE-GGA
Structure: relaxed

Lattice parameters (Å, degrees): 6.0647 6.0647 7.7623 90.00 90.00 120.00
Sites, in units of the cell vectors:
Y 0.0000 0.0000 0.0000
Tl 0.0000 0.0000 0.5000
Re 0.3333 0.6667 0.2552
Re 0.6667 0.3333 0.7448
O 0.1703 0.3423 0.1763
O 0.1720 0.8297 0.1763
O 0.3333 0.6667 0.4823
O 0.3423 0.1720 0.8237
O 0.6577 0.8280 0.1763
O 0.6667 0.3333 0.5177
O 0.8280 0.1703 0.8237
O 0.8297 0.6577 0.8237

Results
Space-group type: P-3 (147)
Formation energy (no corrections) (meV per atom): -1831.5
D(E_F) (states/eV per cell): 6.9


Record 5
Compound: LaGa3IrPd
Source: the Alexandria database
Functional: PBE-GGA
Structure: relaxed

Lattice parameters (Å, degrees): 6.8234 6.8234 5.9661 90.00 90.00 109.43
Sites, in units of the cell vectors:
La 0.2441 0.7559 0.7500
La 0.7559 0.2441 0.2500
Ga 0.2449 0.7551 0.2500
Ga 0.2505 0.2505 0.0000
Ga 0.2505 0.2505 0.5000
Ga 0.7495 0.7495 0.0000
Ga 0.7495 0.7495 0.5000
Ga 0.7551 0.2449 0.7500
Ir 0.0318 0.9682 0.2500
Ir 0.9682 0.0318 0.7500
Pd 0.4587 0.5413 0.2500
Pd 0.5413 0.4587 0.7500

Results
Space-group type: Cmcm (63)
Calculated formation energy (meV per atom): -486.8
D(E_F) (states/eV per cell): 6.3


Record 6
Compound: AgS3Cl2
Source: the Alexandria database
Functional: PBE-GGA
Structure: relaxed

Lattice parameters (Å, degrees): 6.0445 6.9896 8.2430 104.87 103.49 107.97
Sites, in units of the cell vectors:
Ag 0.2492 0.2290 0.2555
Ag 0.7508 0.7710 0.7445
S 0.0684 0.0241 0.6357
S 0.1329 0.3486 0.7351
S 0.4950 0.5426 0.1336
S 0.5050 0.4574 0.8664
S 0.8671 0.6514 0.2649
S 0.9316 0.9759 0.3643
Cl 0.1411 0.8140 0.9449
Cl 0.3900 0.7076 0.5049
Cl 0.6100 0.2924 0.4951
Cl 0.8589 0.1860 0.0551

Results
Space-group type: P-1 (2)
Formation energy (no corrections) (meV per atom): -82.1
D(E_F) (states/eV per cell): 4.8


Record 7
Compound: LiTa2Re
Source: the Alexandria database
Functional: PBE-GGA
Structure: relaxed

Lattice parameters (Å, degrees): 5.8749 5.8749 5.8749 153.34 130.55 57.06
Sites, in units of the cell vectors:
Li 0.0000 0.0000 0.0000
Ta 0.2449 0.2449 0.0000
Ta 0.7551 0.7551 0.0000
Re 0.5000 0.5000 0.0000

Results
Space-group type: Immm (71)
Calculated formation energy (meV per atom): 809.1
D(E_F) (states/eV per cell): 2.7


Record 8
Compound: Al3SiNi
Source: the Alexandria database
Functional: PBE-GGA
Structure: relaxed

Lattice parameters (Å, degrees): 6.0456 6.0456 6.0456 90.00 90.00 90.00
Sites, in units of the cell vectors:
Al 0.0000 0.0000 0.0000
Al 0.2723 0.2723 0.2723
Al 0.2723 0.2723 0.7277
Al 0.2723 0.7277 0.2723
Al 0.2723 0.7277 0.7277
Al 0.7277 0.2723 0.2723
Al 0.7277 0.2723 0.7277
Al 0.7277 0.7277 0.2723
Al 0.7277 0.7277 0.7277
Si 0.0000 0.0000 0.5000
Si 0.0000 0.5000 0.0000
Si 0.5000 0.0000 0.0000
Ni 0.0000 0.5000 0.5000
Ni 0.5000 0.0000 0.5000
Ni 0.5000 0.5000 0.0000

Results
Space-group type: Pm-3m (221)
Formation energy (no corrections) (meV per atom): -60.9
Offset from the most stable computed form (eV per atom): 0.000
D(E_F) (states/eV per cell): 8.1


Record 9
Compound: Re3NiBi
Source: the Alexandria database
Functional: PBE-GGA
Structure: relaxed

Lattice parameters (Å, degrees): 4.5495 4.5495 4.5495 90.00 90.00 90.00
Sites, in units of the cell vectors:
Re 0.0000 0.0000 0.5000
Re 0.0000 0.5000 0.0000
Re 0.5000 0.0000 0.0000
Ni 0.0000 0.0000 0.0000
Bi 0.5000 0.5000 0.5000

Results
Space-group type: Pm-3m (221)
Calculated formation energy (meV per atom): 1738.5
Offset from the most stable computed form (eV per atom): 0.000
D(E_F) (states/eV per cell): 7.2


Record 10
Compound: Ce3Tl4CoSe8
Source: the Alexandria database
Functional: PBE-GGA
Structure: relaxed

Lattice parameters (Å, degrees): 8.3736 8.3736 9.1247 117.35 117.35 59.96
Sites, in units of the cell vectors:
Ce 0.0000 0.0000 0.0000
Ce 0.0000 0.5000 0.0000
Ce 0.5000 0.0000 0.0000
Tl 0.0000 0.0000 0.5000
Tl 0.0000 0.5000 0.5000
Tl 0.5000 0.0000 0.5000
Tl 0.5000 0.5000 0.5000
Co 0.5000 0.5000 0.0000
Se 0.2376 0.2376 0.2126
Se 0.2501 0.7237 0.1974
Se 0.2750 0.2750 0.8015
Se 0.2763 0.7499 0.8026
Se 0.7237 0.2501 0.1974
Se 0.7250 0.7250 0.1985
Se 0.7499 0.2763 0.8026
Se 0.7624 0.7624 0.7874

Results
Space-group type: C2/m (12)
Formation energy (no corrections) (meV per atom): -1007.9
D(E_F) (states/eV per cell): 18.1


Record 11
Compound: PrSi2Se6
Source: the Alexandria database
Functional: PBE-GGA
Structure: relaxed

Lattice parameters (Å, degrees): 8.9777 8.9777 7.0745 106.68 106.68 77.72
Sites, in units of the cell vectors:
Pr 0.1604 0.8396 0.7500
Pr 0.8396 0.1604 0.2500
Si 0.2070 0.3605 0.7802
Si 0.3605 0.2070 0.2802
Si 0.6395 0.7930 0.7198
Si 0.7930 0.6395 0.2198
Se 0.0386 0.1793 0.6767
Se 0.0824 0.6018 0.8983
Se 0.1793 0.0386 0.1767
Se 0.2999 0.4244 0.5417
Se 0.3982 0.9176 0.6017
Se 0.4244 0.2999 0.0417
Se 0.5756 0.7001 0.9583
Se 0.6018 0.0824 0.3983
Se 0.7001 0.5756 0.4583
Se 0.8207 0.9614 0.8233
Se 0.9176 0.3982 0.1017
Se 0.9614 0.8207 0.3233

Results
Space-group type: C2/c (15)
Formation energy (no corrections) (meV per atom): -649.2
D(E_F) (states/eV per cell): 12.9


Record 12
Compound: AcLaGaCl
Source: the Alexandria database
Functional: PBE-GGA
Structure: relaxed

Lattice parameters (Å, degrees): 5.4395 5.4395 5.4395 60.00 60.00 60.00
Sites, in units of the cell vectors:
Ac 0.0000 0.0000 0.0000
La 0.5000 0.5000 0.5000
Ga 0.2500 0.2500 0.2500
Cl 0.7500 0.7500 0.7500

Results
Space-group type: F-43m (216)
Formation energy (no corrections) (meV per atom): -868.8
D(E_F) (states/eV per cell): 4.3